No. 1
VASP calculation (PBE) on an optimized crystal structure of CsAgSb4S7. Values from VASP.

Summary:
ΔE_f (raw): -0.39 eV per atom
SG: C2/c
E: -216.9 eV per cell

```
&SYSTEM
  ibrav = 0, nat = 52, ntyp = 4
/
ATOMIC_SPECIES
Cs 132.91 Cs.upf
Ag 107.87 Ag.upf
Sb 121.76 Sb.upf
S 32.06 S.upf
CELL_PARAMETERS angstrom
14.048 0.035 -0.077
11.168 8.522 -0.077
1.433 0.486 12.521
ATOMIC_POSITIONS crystal
Cs 0.500 0.000 0.500
Cs 0.334 0.666 0.250
Cs 0.000 0.500 0.000
Cs 0.666 0.334 0.750
Ag 0.167 0.356 0.297
Ag 0.833 0.644 0.703
Ag 0.356 0.167 0.797
Ag 0.644 0.833 0.203
Sb 0.249 0.043 0.177
Sb 0.446 0.271 0.059
Sb 0.271 0.446 0.559
Sb 0.043 0.249 0.677
Sb 0.982 0.874 0.575
Sb 0.623 0.214 0.375
Sb 0.554 0.729 0.941
Sb 0.957 0.751 0.323
Sb 0.729 0.554 0.441
Sb 0.874 0.982 0.075
Sb 0.018 0.126 0.425
Sb 0.786 0.377 0.125
Sb 0.751 0.957 0.823
Sb 0.377 0.786 0.625
Sb 0.214 0.623 0.875
Sb 0.126 0.018 0.925
S 0.670 0.025 0.294
S 0.260 0.065 0.977
S 0.376 0.726 0.951
S 0.889 0.639 0.303
S 0.361 0.111 0.197
S 0.195 0.583 0.067
S 0.805 0.417 0.933
S 0.933 0.989 0.391
S 0.274 0.624 0.549
S 0.726 0.376 0.451
S 0.111 0.361 0.697
S 0.639 0.889 0.803
S 0.011 0.067 0.109
S 0.975 0.330 0.206
S 0.067 0.011 0.609
S 0.302 0.402 0.368
S 0.417 0.805 0.433
S 0.698 0.598 0.632
S 0.935 0.740 0.523
S 0.065 0.260 0.477
S 0.624 0.274 0.049
S 0.598 0.698 0.132
S 0.989 0.933 0.891
S 0.402 0.302 0.868
S 0.025 0.670 0.794
S 0.330 0.975 0.706
S 0.583 0.195 0.567
S 0.740 0.935 0.023
```



No. 2
VASP calculation (PBE) on an optimized crystal structure of Ca2BeCo. Values from VASP.

Summary:
SG: P4/mmm
energy relative to the elements: 0.468 eV per atom
E: -13.0 eV per cell

```
&SYSTEM
  ibrav = 0, nat = 4, ntyp = 3
/
ATOMIC_SPECIES
Be 9.01 Be.upf
Ca 40.08 Ca.upf
Co 58.93 Co.upf
CELL_PARAMETERS angstrom
-0.020 4.603 1.576
1.368 -1.507 4.419
3.404 0.336 -0.939
ATOMIC_POSITIONS crystal
Be 0.000 0.500 0.500
Ca 0.000 0.000 0.000
Ca 0.500 0.500 0.000
Co 0.500 0.000 0.500
```



No. 3
VASP calculation (PBE) on an optimized crystal structure of Si2SbH. Values from VASP.

Summary:
SG: I-42d
excess energy over the best structure of this formula in the dataset: 0 meV per atom
E: -32.1 eV per cell

```
&SYSTEM
  ibrav = 0, nat = 8, ntyp = 3
/
ATOMIC_SPECIES
Sb 121.76 Sb.upf
Si 28.09 Si.upf
H 1.01 H.upf
CELL_PARAMETERS angstrom
-1.214 -2.927 3.224
3.536 1.291 2.503
-2.738 4.081 5.845
ATOMIC_POSITIONS crystal
Sb 0.000 0.000 0.000
Sb 0.750 0.250 0.500
Si 0.476 0.125 0.250
Si 0.274 0.625 0.250
Si 0.375 0.524 0.750
Si 0.875 0.726 0.750
H 0.500 0.500 0.000
H 0.250 0.750 0.500
```



No. 4
VASP calculation (PBE) on an optimized crystal structure of Be2AsH9O9. Values from VASP.

Summary:
SG: P2_1/c
E: -467.0 eV per cell

```
&SYSTEM
  ibrav = 0, nat = 84, ntyp = 4
/
ATOMIC_SPECIES
Be 9.01 Be.upf
As 74.92 As.upf
H 1.01 H.upf
O 16.00 O.upf
CELL_PARAMETERS angstrom
-2.526 3.187 -5.951
-7.569 -1.425 3.944
0.846 11.388 5.739
ATOMIC_POSITIONS crystal
Be 0.123 0.364 0.622
Be 0.377 0.636 0.122
Be 0.877 0.636 0.378
Be 0.623 0.364 0.878
Be 0.348 0.109 0.626
Be 0.152 0.891 0.126
Be 0.652 0.891 0.374
Be 0.848 0.109 0.874
As 0.736 0.243 0.673
As 0.764 0.757 0.173
As 0.264 0.757 0.327
As 0.236 0.243 0.827
H 0.181 0.587 0.513
H 0.319 0.413 0.013
H 0.819 0.413 0.487
H 0.681 0.587 0.987
H 0.338 0.589 0.609
H 0.162 0.411 0.109
H 0.662 0.411 0.391
H 0.838 0.589 0.891
H 0.333 0.890 0.520
H 0.167 0.110 0.020
H 0.667 0.110 0.480
H 0.833 0.890 0.980
H 0.148 0.884 0.597
H 0.352 0.116 0.097
H 0.852 0.116 0.403
H 0.648 0.884 0.903
H 0.882 0.927 0.685
H 0.618 0.073 0.185
H 0.118 0.073 0.315
H 0.382 0.927 0.815
H 0.949 0.763 0.707
H 0.551 0.237 0.207
H 0.051 0.237 0.293
H 0.449 0.763 0.793
H 0.646 0.715 0.661
H 0.854 0.285 0.161
H 0.354 0.285 0.339
H 0.146 0.715 0.839
H 0.576 0.552 0.711
H 0.924 0.448 0.211
H 0.424 0.448 0.289
H 0.076 0.552 0.789
H 0.182 0.202 0.501
H 0.318 0.798 0.001
H 0.818 0.798 0.499
H 0.682 0.202 0.999
O 0.328 0.105 0.754
O 0.172 0.895 0.254
O 0.672 0.895 0.246
O 0.828 0.105 0.746
O 0.900 0.341 0.591
O 0.600 0.659 0.091
O 0.100 0.659 0.409
O 0.400 0.341 0.909
O 0.569 0.151 0.590
O 0.931 0.849 0.090
O 0.431 0.849 0.410
O 0.069 0.151 0.910
O 0.150 0.377 0.749
O 0.350 0.623 0.249
O 0.850 0.623 0.251
O 0.650 0.377 0.751
O 0.218 0.223 0.573
O 0.282 0.777 0.073
O 0.782 0.777 0.427
O 0.718 0.223 0.927
O 0.216 0.539 0.580
O 0.284 0.461 0.080
O 0.784 0.461 0.420
O 0.716 0.539 0.920
O 0.283 0.926 0.588
O 0.217 0.074 0.088
O 0.717 0.074 0.412
O 0.783 0.926 0.912
O 0.908 0.830 0.650
O 0.592 0.170 0.150
O 0.092 0.170 0.350
O 0.408 0.830 0.850
O 0.532 0.651 0.688
O 0.968 0.349 0.188
O 0.468 0.349 0.312
O 0.032 0.651 0.812
```



Number 1: size of the total moment 0.0 μB per formula unit. Number 2: size of the total moment 0.7 μB per formula unit. Number 3: size of the total moment 0.0 μB per formula unit. Number 4: size of the total moment 0.0 μB per formula unit.